1.
Crystalline PrSm6Y3Ho2 at its relaxed geometry, computed with PBE-GGA.

Summary:
DFT total energy = -5.12 eV per atom
crystal system = monoclinic
space group = No. 12
formation energy = 0.01 eV per atom

Cell: 6.247 6.247 11.919 Å, 95.00 95.00 119.98°
Element x y z (fractional)
Pr1 0.000 0.000 0.000
Sm1 0.084 0.418 0.251
Sm2 0.250 0.250 0.749
Sm3 0.418 0.084 0.251
Sm4 0.582 0.916 0.749
Sm5 0.750 0.750 0.251
Sm6 0.916 0.582 0.749
Y1 0.167 0.833 0.500
Y2 0.500 0.500 0.500
Y3 0.833 0.167 0.500
Ho1 0.333 0.667 0.000
Ho2 0.667 0.333 0.000

2.
Crystalline CaMgI4 at its relaxed geometry, computed with PBE-GGA.

Summary:
DFT total energy = -2.96 eV per atom
uncorrected formation energy = -7.93 eV/f.u.
crystal system = monoclinic
space group = No. 10

Cell: 7.626 4.336 7.827 Å, 90.00 91.25 90.00°
Element x y z (fractional)
Ca1 0.000 0.000 0.000
Mg1 0.500 0.500 0.000
I1 0.180 0.500 0.775
I2 0.352 0.000 0.216
I3 0.648 0.000 0.784
I4 0.820 0.500 0.225

3.
Crystalline NdNbBi2O8 at its relaxed geometry, computed with PBE-GGA.

Summary:
DFT total energy = -7.11 eV per atom
uncorrected formation energy = -23.11 eV/f.u.
crystal system = orthorhombic
space group = No. 65

Cell: 5.123 5.123 6.983 Å, 90.00 90.00 90.84°
Element x y z (fractional)
Nd1 0.000 0.000 0.000
Nb1 0.000 0.000 0.500
Bi1 0.500 0.500 0.258
Bi2 0.500 0.500 0.742
O1 0.186 0.186 0.284
O2 0.186 0.186 0.716
O3 0.286 0.714 0.500
O4 0.320 0.680 0.000
O5 0.680 0.320 0.000
O6 0.714 0.286 0.500
O7 0.814 0.814 0.284
O8 0.814 0.814 0.716

4.
Crystalline SrTaRu2 at its relaxed geometry, computed with PBE-GGA.

Summary:
DFT total energy = -7.26 eV per atom
crystal system = trigonal
space group = No. 160
formation energy = 0.76 eV per atom

Cell: 10.198 10.198 10.198 Å, 16.52 16.52 16.52°
Element x y z (fractional)
Sr1 0.000 0.000 0.000
Ta1 0.768 0.768 0.768
Ru1 0.243 0.243 0.243
Ru2 0.510 0.510 0.510

5.
Crystalline BaPmSnHg at its relaxed geometry, computed with PBE-GGA.

Summary:
DFT total energy = -3.23 eV per atom
crystal system = cubic
space group = No. 216
formation energy = -0.49 eV per atom

Cell: 5.697 5.697 5.697 Å, 60.00 60.00 60.00°
Element x y z (fractional)
Ba1 0.000 0.000 0.000
Pm1 0.500 0.500 0.500
Sn1 0.250 0.250 0.250
Hg1 0.750 0.750 0.750

6.
Crystalline CsGeB3O7 at its relaxed geometry, computed with PBE-GGA.

Summary:
DFT total energy = -7.26 eV per atom
uncorrected formation energy = -26.92 eV/f.u.
crystal system = orthorhombic
space group = No. 33

Cell: 9.688 10.167 7.100 Å, 90.00 90.00 90.00°
Element x y z (fractional)
Cs1 0.000 0.176 0.000
Cs2 0.000 0.824 0.500
Cs3 0.500 0.324 0.000
Cs4 0.500 0.676 0.500
Ge1 0.227 0.389 0.487
Ge2 0.273 0.889 0.987
Ge3 0.727 0.111 0.487
Ge4 0.773 0.611 0.987
B1 0.046 0.713 0.955
B2 0.158 0.563 0.190
B3 0.176 0.510 0.859
B4 0.324 0.010 0.359
B5 0.342 0.063 0.690
B6 0.454 0.213 0.455
B7 0.546 0.787 0.955
B8 0.658 0.937 0.190
B9 0.676 0.990 0.859
B10 0.824 0.490 0.359
B11 0.842 0.437 0.690
B12 0.954 0.287 0.455
O1 0.081 0.671 0.148
O2 0.097 0.615 0.813
O3 0.105 0.268 0.434
O4 0.106 0.844 0.916
O5 0.193 0.544 0.377
O6 0.204 0.478 0.049
O7 0.237 0.425 0.733
O8 0.263 0.925 0.233
O9 0.296 0.978 0.549
O10 0.307 0.044 0.877
O11 0.394 0.344 0.416
O12 0.395 0.768 0.934
O13 0.403 0.115 0.313
O14 0.419 0.171 0.648
O15 0.581 0.829 0.148
O16 0.597 0.885 0.813
O17 0.605 0.232 0.434
O18 0.606 0.656 0.916
O19 0.693 0.956 0.377
O20 0.704 0.022 0.049
O21 0.737 0.075 0.733
O22 0.763 0.575 0.233
O23 0.796 0.522 0.549
O24 0.807 0.456 0.877
O25 0.894 0.156 0.416
O26 0.895 0.732 0.934
O27 0.903 0.385 0.313
O28 0.919 0.329 0.648

The DOS at the Fermi energy results, record by record, are as follows: 1.291, 0.000, 0.271, 0.747, 1.115, 0.000 states/eV/atom.